Entry 1:
Computed, not measured: a relaxed LiCa2Ho crystal at the PBE-GGA level of DFT.

a b c (Å): 4.054 4.054 8.087
angles (deg): 90.00 90.00 90.00
Atoms (fractional coordinates):
Ho 0.500 0.500 0.500
Li 0.500 0.500 0.000
Ca 0.000 0.000 0.765
Ca 0.000 0.000 0.235

## Properties
Its crystal system is tetragonal. Its calculated volume is 132.9 Å³/cell. The total magnetization is 0.00 μB/f.u. The calculation puts the polymorph energy (0 for the lowest one) at 0.000 eV/atom.

Entry 2:
Computed, not measured: a relaxed TiNiPt2 crystal at the PBE-GGA level of DFT.

a b c (Å): 6.843 6.843 5.543
angles (deg): 51.89 51.89 90.00
Atoms (fractional coordinates):
Ni 0.750 0.250 0.500
Ni 0.000 0.000 0.000
Pt 0.622 0.125 0.250
Pt 0.875 0.872 0.750
Pt 0.375 0.378 0.750
Pt 0.128 0.625 0.250
Ti 0.250 0.750 0.500
Ti 0.500 0.500 0.000

## Properties
The energy comes out at -0.2476 Ha/atom. Its crystal system is tetragonal. Its calculated volume is 126.6 Å³/cell. The total magnetization is 0.00 μB/f.u.

Entry 3:
Computed, not measured: a relaxed MgZrSe crystal at the PBE-GGA level of DFT.

a b c (Å): 3.511 3.511 6.298
angles (deg): 90.00 90.00 120.00
Atoms (fractional coordinates):
Zr 0.333 0.667 0.630
Se 0.667 0.333 0.342
Mg 0.000 0.000 0.028

## Properties
Its crystal system is trigonal. Its calculated volume is 67.2 Å³/cell. The formation energy without anion corrections is -614 meV per atom. The total magnetization is 0.00 μB/f.u. The calculation puts the polymorph energy (0 for the lowest one) at 0.007 eV/atom.

Entry 4:
Computed, not measured: a relaxed Zn4TcN5 crystal at the PBE-GGA level of DFT.

a b c (Å): 5.318 5.292 5.292
angles (deg): 75.37 59.84 59.84
Each line ends with the local moment (μB).
Atoms (fractional coordinates):
N 0.665 0.192 0.370  -0.01
N 0.035 0.630 0.192  -0.01
N 0.227 0.808 0.630  -0.01
N 0.400 0.000 0.000  -0.01
N 0.858 0.370 0.808  -0.01
Zn 0.664 0.599 0.207  0.00
Zn 0.470 0.401 0.793  0.00
Zn 0.263 0.207 0.401  0.00
Zn 0.871 0.793 0.599  0.00
Tc 0.056 0.000 0.000  0.16

## Properties
Its crystal system is tetragonal. Its calculated volume is 111.3 Å³/cell. The formation energy without anion corrections is 329 meV per atom. The total magnetization is 0.12 μB/f.u.